(1)
LiCu4Ge | Alexandria via LeMat-Bulk | PBE-GGA | relaxed; energy relative to the lowest polymorph listed for this composition = 0.005 eV per atom; V = 81.83 Å³/cell; final energy = -3.840 eV per atom; space-group type = F-43m (216); formation energy = -0.02 eV/atom; total magnetization = 0.000 μB per formula unit
1.0
0.000 3.446 3.446
3.446 0.000 3.446
3.446 3.446 0.000
Li Cu Ge
1 4 1
direct
0.000 0.000 0.000
0.124 0.625 0.625
0.625 0.124 0.625
0.625 0.625 0.124
0.625 0.625 0.625
0.250 0.250 0.250

***

(2)
BeAlMo | Alexandria via LeMat-Bulk | PBE-GGA | relaxed; energy relative to the lowest polymorph listed for this composition = 0.110 eV per atom; V = 156.03 Å³/cell; final energy = -6.058 eV per atom; space-group type = Pnma (62); formation energy = 0.04 eV/atom; total magnetization = 0.000 μB per formula unit
1.0
8.652 0.000 0.000
0.000 3.485 0.000
0.000 0.000 5.175
Be Al Mo
4 4 4
direct
0.066 0.250 0.049
0.434 0.750 0.549
0.566 0.250 0.451
0.934 0.750 0.951
0.054 0.750 0.340
0.446 0.250 0.840
0.554 0.750 0.160
0.946 0.250 0.660
0.205 0.750 0.820
0.295 0.250 0.320
0.705 0.750 0.680
0.795 0.250 0.180

***

(3)
Rb2Cd5Sn | Alexandria via LeMat-Bulk | PBE-GGA | relaxed; energy relative to the lowest polymorph listed for this composition = 0.022 eV per atom; V = 290.73 Å³/cell; final energy = -1.352 eV per atom; space-group type = I4mm (107); formation energy = -0.04 eV/atom; total magnetization = 0.000 μB per formula unit
1.0
-3.314 3.314 6.619
3.314 -3.314 6.619
3.314 3.314 -6.619
Rb Cd Sn
2 5 1
direct
0.000 0.500 0.500
0.500 0.000 0.500
0.009 0.009 0.530
0.009 0.479 0.000
0.389 0.389 0.000
0.479 0.009 0.000
0.479 0.479 0.470
0.626 0.626 0.000

***

(4)
ZrTi2Zn | Alexandria via LeMat-Bulk | PBE-GGA | relaxed; V = 146.62 Å³/cell; final energy = -6.445 eV per atom; space-group type = P2_1/m (11); formation energy = -0.04 eV/atom; total magnetization = 0.000 μB per formula unit
1.0
5.046 0.000 0.000
0.000 2.940 0.000
-2.224 0.000 9.881
Zr Ti Zn
2 4 2
direct
0.223 0.250 0.380
0.777 0.750 0.620
0.029 0.250 0.885
0.463 0.250 0.111
0.537 0.750 0.889
0.971 0.750 0.115
0.285 0.250 0.662
0.715 0.750 0.338

***

(5)
CaAcEu | Alexandria via LeMat-Bulk | PBE-GGA | relaxed; energy relative to the lowest polymorph listed for this composition = 0.016 eV per atom; V = 129.14 Å³/cell; final energy = -5.431 eV per atom; space-group type = I4mm (107); formation energy = 0.03 eV/atom; total magnetization = 7.722 μB per formula unit
1.0
-1.974 1.974 8.288
1.974 -1.974 8.288
1.974 1.974 -8.288
Ca Ac Eu
1 1 1
direct
0.000 0.000 0.000
0.668 0.668 0.000
0.332 0.332 0.000

***

(6)
Ac12InSi5 | Alexandria via LeMat-Bulk | PBE-GGA | relaxed; V = 629.83 Å³/cell; final energy = -4.780 eV per atom; space-group type = Immm (71); formation energy (no corrections) = -0.383 eV per atom; total magnetization = 0.000 μB per formula unit
1.0
-5.268 5.343 5.595
5.268 -5.343 5.595
5.268 5.343 -5.595
Ac In Si
12 1 5
direct
0.033 0.231 0.803
0.178 0.271 0.450
0.178 0.729 0.907
0.320 0.024 0.703
0.320 0.617 0.297
0.428 0.231 0.197
0.572 0.769 0.803
0.680 0.383 0.703
0.680 0.976 0.297
0.822 0.271 0.093
0.822 0.729 0.550
0.967 0.769 0.197
0.500 0.500 0.000
0.000 0.000 0.000
0.108 0.608 0.500
0.382 0.000 0.382
0.618 0.000 0.618
0.892 0.392 0.500

***

(7)
Y3CoPd | Alexandria via LeMat-Bulk | PBE-GGA | relaxed; energy relative to the lowest polymorph listed for this composition = 0.327 eV per atom; V = 131.85 Å³/cell; final energy = -6.452 eV per atom; space-group type = Pm-3m (221); formation energy = -0.11 eV/atom; total magnetization = 0.000 μB per formula unit
1.0
5.090 0.000 0.000
0.000 5.090 0.000
0.000 0.000 5.090
Y Co Pd
3 1 1
direct
0.000 0.000 0.500
0.000 0.500 0.000
0.500 0.000 0.000
0.000 0.000 0.000
0.500 0.500 0.500

***

(8)
Sc2MnW | Alexandria via LeMat-Bulk | PBE-GGA | relaxed; energy relative to the lowest polymorph listed for this composition = 0.238 eV per atom; V = 71.57 Å³/cell; final energy = -8.412 eV per atom; space-group type = P4/mmm (123); formation energy = 0.28 eV/atom; total magnetization = 2.611 μB per formula unit
1.0
2.916 0.000 0.000
0.000 2.916 0.000
0.000 0.000 8.418
Sc Mn W
2 1 1
direct
0.000 0.000 0.233
0.000 0.000 0.767
0.500 0.500 0.000
0.500 0.500 0.500

***

(9)
PrTiGa2 | Alexandria via LeMat-Bulk | PBE-GGA | relaxed; energy relative to the lowest polymorph listed for this composition = 0.000 eV per atom; V = 82.52 Å³/cell; final energy = -5.087 eV per atom; space-group type = P4/mmm (123); formation energy = -0.40 eV/atom; total magnetization = 0.796 μB per formula unit
1.0
3.501 0.000 0.000
0.000 3.501 0.000
0.000 0.000 6.734
Pr Ti Ga
1 1 2
direct
0.000 0.000 0.000
0.000 0.000 0.500
0.500 0.500 0.303
0.500 0.500 0.697

***

(10)
MgReRh3 | Alexandria via LeMat-Bulk | PBE-GGA | relaxed; energy relative to the lowest polymorph listed for this composition = 0.607 eV per atom; V = 83.87 Å³/cell; final energy = -5.776 eV per atom; space-group type = Pm-3m (221); formation energy = 1.44 eV/atom; total magnetization = 2.542 μB per formula unit
1.0
4.377 0.000 0.000
0.000 4.377 0.000
0.000 0.000 4.377
Mg Re Rh
1 1 3
direct
0.000 0.000 0.000
0.500 0.500 0.500
0.000 0.000 0.500
0.000 0.500 0.000
0.500 0.000 0.000